[1]
Compound: Be2CoB
Source: Alexandria
Functional: PBE
Structure: relaxed

Unit cell a=7.487 b=7.487 c=7.487 alpha=17.94 beta=17.94 gamma=17.94
Element x y z (fractional)
1 Be 0.098 0.098 0.098
2 Be 0.902 0.902 0.902
3 Co 0.000 0.000 0.000
4 B 0.500 0.500 0.500

Summary:
SG   No. 166
N(E_F)   2.5 states/eV/cell
Calculated formation energy   464.0 meV per atom

---

[2]
Compound: Ba3TlPt
Source: Alexandria
Functional: PBE
Structure: relaxed

Unit cell a=6.169 b=6.169 c=6.169 alpha=90.00 beta=90.00 gamma=90.00
Element x y z (fractional)
1 Ba 0.000 0.000 0.500
2 Ba 0.000 0.500 0.000
3 Ba 0.500 0.000 0.000
4 Tl 0.500 0.500 0.500
5 Pt 0.000 0.000 0.000

Summary:
SG   No. 221
N(E_F)   6.0 states/eV/cell
Calculated formation energy   -421.0 meV per atom